{
  "formula": "Li3Mn5OF11",
  "functional": "PBE+U",
  "state": "optimized geometry",
  "lattice_angstrom": [[-6.233, -0.057, -0.143], [2.918, 4.807, -0.659], [-0.232, -1.586, -8.778]],
  "species": ["F", "F", "Mn", "F", "O", "Li", "F", "F", "Li", "F", "F", "F", "F", "Mn", "Li", "Mn", "Mn", "Mn", "F", "F"],
  "fractional_positions": [[0.607, 0.437, 0.705], [0.398, 0.899, 0.625], [0.008, 0.193, 0.339], [0.498, 0.288, 0.029], [0.519, 0.805, 0.962], [0.521, 0.719, 0.487], [0.057, 0.022, 0.845], [0.111, 0.448, 0.155], [0.222, 0.408, 0.945], [0.013, 0.889, 0.180], [0.377, 0.360, 0.409], [0.580, 0.983, 0.329], [0.870, 0.915, 0.522], [0.004, 0.738, 0.660], [0.568, 0.242, 0.496], [0.356, 0.889, 0.144], [0.783, 0.709, 0.992], [0.602, 0.116, 0.827], [0.969, 0.492, 0.864], [0.936, 0.449, 0.486]],
  "crystal_system": "triclinic",
  "dft_energy_ev_per_cell": -120.3,
  "dos_at_fermi_per_ev_fu": 0.00
}